Below is an optimized crystal structure of BaSrIn2Co, with properties calculated at the PBE level.

Lattice parameters (Å, degrees): 6.2627 6.2627 4.9168 90.00 90.00 90.00
Space group P4/mmm (No. 123)
Asymmetric unit:
Ba: 0.0000 0.0000 0.0000
Sr: 0.5000 0.5000 0.5000
In: 0.0000 0.5000 0.0000
Co: 0.0000 0.0000 0.5000

Calculated values
As for the total moment: 0.00 μB per cell. For the calculated density, the calculation gives 4.4 g/cm³. The total energy comes out at -12.14 eV/cell.